Material: LaAl2ZnCu2
Method: DFT, PBE-GGA
State: relaxed

a = 4.4848 Å, b = 4.4848 Å, c = 5.7516 Å
α = 90.00°, β = 90.00°, γ = 90.00°
Last column: nearest neighbours and their distance in Å.
Space group P4/mmm (No. 123)
Asymmetric unit:
La1 0.0000 0.0000 0.0000  2 Zn 2.88
Al1 0.5000 0.5000 0.2453  4 Cu 2.68, 2 Al 2.82-2.93
Zn1 0.0000 0.0000 0.5000  4 Cu 2.24
Cu1 0.0000 0.5000 0.5000  2 Zn 2.24

Computed properties:
**M_tot**: 0.000 μB per atom
**Energy of formation**: -0.127 eV/atom